[1]
Compound: Ba4CrN4
Source: Alexandria
Functional: GGA-PBE
Structure: relaxed

Output
Crystal system: tetragonal
Final energy: -0.4502 Ry per atom

a = 7.3148 Å, b = 7.3148 Å, c = 8.3677 Å
α = 90.00°, β = 90.00°, γ = 90.00°
Last column: nearest neighbours and their distance in Å.
Space group P4_2/nmc (No. 137, origin choice 2)
One atom of each set of equivalent atoms:
Ba: 0.0161 0.2500 0.0585 [8 per cell]  4 N 2.85-2.86
Cr: 0.2500 0.7500 0.2500 [2 per cell]  4 N 1.78
N: 0.0549 0.7500 0.3779 [8 per cell]  1 Cr 1.78



[2]
Compound: KAgHg2Au
Source: Alexandria
Functional: GGA-PBE
Structure: relaxed

Output
Crystal system: tetragonal
Energy above the lowest structure with this stoichiometry: 0.028 eV/atom

a = 5.4618 Å, b = 5.4618 Å, c = 5.4188 Å
α = 90.00°, β = 90.00°, γ = 90.00°
Last column: nearest neighbours and their distance in Å.
Space group P4/mmm (No. 123)
One atom of each set of equivalent atoms:
K: 0.0000 0.0000 0.0000 [1 per cell]  8 Hg 3.85, 4 Au 3.86
Ag: 0.5000 0.5000 0.5000 [1 per cell]  2 Au 2.71, 4 Hg 2.73
Hg: 0.0000 0.5000 0.5000 [2 per cell]  2 Ag 2.73
Au: 0.5000 0.5000 0.0000 [1 per cell]  2 Ag 2.71



[3]
Compound: RbTaGeCl2
Source: Alexandria
Functional: GGA-PBE
Structure: relaxed

Output
Crystal system: tetragonal
Final energy: -0.2168 Ry per atom

a = 5.6223 Å, b = 5.6223 Å, c = 5.9452 Å
α = 90.00°, β = 90.00°, γ = 90.00°
Last column: nearest neighbours and their distance in Å.
Space group P4/mmm (No. 123)
One atom of each set of equivalent atoms:
Rb: 0.0000 0.0000 0.0000 [1 per cell]  4 Cl 2.81, 2 Ge 2.97
Ta: 0.5000 0.5000 0.5000 [1 per cell]  4 Ge 3.98, 8 Cl 4.09
Ge: 0.0000 0.0000 0.5000 [1 per cell]  2 Rb 2.97
Cl: 0.0000 0.5000 0.0000 [2 per cell]  2 Rb 2.81



no.,volume (Å³ per cell)
1,448
2,162
3,188